[1]
Material: Y4Er3Tm8
Method: DFT, PBE
State: relaxed

a = 6.8456 Å, b = 6.8456 Å, c = 12.2946 Å
α = 73.84°, β = 73.84°, γ = 60.00°
With the nearest neighbours (Å) after each atom.
Element x y z (fractional)
1 Y 0.6638 0.6638 0.0086  4 Tm 3.21-3.46
2 Y 0.5000 0.5000 0.5000  6 Er 3.42, 6 Tm 3.51
3 Tm 0.7504 0.2472 0.2520  6 Tm 3.40-3.44, 3 Y 3.46-3.53, 2 Er 3.49
4 Tm 0.7558 0.7558 0.7326  1 Y 3.21, 3 Er 3.35, 6 Tm 3.43
5 Tm 0.2472 0.7504 0.2520  6 Tm 3.40-3.44, 3 Y 3.46-3.53, 2 Er 3.49
6 Er 0.0000 0.5000 0.5000  6 Tm 3.35-3.49, 4 Er 3.42, 2 Y 3.42
7 Tm 0.7528 0.2496 0.7480  6 Tm 3.40-3.44, 3 Y 3.46-3.53, 2 Er 3.49
8 Tm 0.7504 0.7504 0.2520  6 Tm 3.40-3.44, 3 Y 3.46-3.53, 2 Er 3.49
9 Tm 0.2496 0.7528 0.7480  6 Tm 3.40-3.44, 3 Y 3.46-3.53, 2 Er 3.49
10 Y 0.3362 0.3362 0.9914  4 Tm 3.21-3.46
11 Y 0.0000 0.0000 0.0000  6 Tm 3.53, 6 Y 3.95
12 Er 0.5000 0.0000 0.5000  6 Tm 3.35-3.49, 4 Er 3.42, 2 Y 3.42
13 Er 0.0000 0.0000 0.5000  6 Tm 3.35-3.49, 2 Y 3.42, 4 Er 3.42
14 Tm 0.2496 0.2496 0.7480  6 Tm 3.40-3.44, 3 Y 3.46-3.53, 2 Er 3.49
15 Tm 0.2442 0.2442 0.2674  1 Y 3.21, 3 Er 3.35, 6 Tm 3.43

Calculated values
Spin magnetization: 0.0 μB per formula unit
Excess energy over the best structure of this formula in the dataset: 0 meV per atom
SG: No. 166

[2]
Material: YEr2Tm8
Method: DFT, PBE
State: relaxed

a = 5.4038 Å, b = 8.0423 Å, c = 9.1989 Å
α = 115.92°, β = 107.08°, γ = 90.00°
With the nearest neighbours (Å) after each atom.
Element x y z (fractional)
1 Tm 0.6396 0.4328 0.2792  1 Y 3.21, 3 Er 3.32-3.43, 4 Tm 3.33-3.53
2 Tm 0.6396 0.8464 0.2792  1 Y 3.21, 3 Er 3.32-3.43, 4 Tm 3.33-3.53
3 Er 0.7985 0.2985 0.5971  10 Tm 3.32-3.56
4 Tm 0.3604 0.5672 0.7208  1 Y 3.21, 3 Er 3.32-3.43, 4 Tm 3.33-3.53
5 Tm 0.0000 0.7051 0.0000  7 Tm 3.30-3.47, 2 Er 3.56, 2 Y 3.60
6 Y 0.5000 0.0000 0.0000  8 Tm 3.21-3.60
7 Tm 0.3604 0.1536 0.7208  1 Y 3.21, 3 Er 3.32-3.43, 4 Tm 3.33-3.53
8 Tm 0.8389 0.8389 0.6778  2 Er 3.45, 8 Tm 3.46-3.60, 2 Y 3.69
9 Tm 0.1611 0.1611 0.3222  2 Er 3.45, 8 Tm 3.46-3.60, 2 Y 3.69
10 Tm 0.0000 0.2949 0.0000  7 Tm 3.30-3.47, 2 Er 3.56, 2 Y 3.60
11 Er 0.2015 0.7015 0.4029  10 Tm 3.32-3.56

Calculated values
Spin magnetization: 0.0 μB per formula unit
Excess energy over the best structure of this formula in the dataset: 0 meV per atom
SG: No. 71

[3]
Material: Y3Er4Tm3
Method: DFT, PBE
State: relaxed

a = 3.6858 Å, b = 9.2141 Å, c = 9.2141 Å
α = 90.00°, β = 90.00°, γ = 90.00°
With the nearest neighbours (Å) after each atom.
Element x y z (fractional)
1 Er 0.0000 0.1279 0.1246  4 Y 3.21-3.35, 1 Er 3.29, 2 Tm 3.32
2 Y 0.5000 0.3276 0.3284  6 Er 3.21-3.34
3 Er 0.0000 0.8754 0.8721  4 Y 3.21-3.35, 1 Er 3.29, 2 Tm 3.32
4 Tm 0.0000 0.0006 0.5015  4 Er 3.60-3.67, 4 Tm 3.69-3.87, 6 Y 3.87-3.89
5 Y 0.5000 0.8284 0.1716  6 Er 3.21-3.35
6 Tm 0.5000 0.1718 0.8282  6 Er 3.19-3.32
7 Tm 0.0000 0.4985 0.9994  4 Er 3.60-3.67, 4 Tm 3.69-3.87, 6 Y 3.87-3.89
8 Y 0.5000 0.6716 0.6724  6 Er 3.21-3.34
9 Er 0.0000 0.3719 0.6281  2 Tm 3.19, 1 Er 3.32, 4 Y 3.34
10 Er 0.0000 0.6264 0.3736  6 Y 3.21-3.34, 1 Er 3.32

Calculated values
Spin magnetization: 0.0 μB per formula unit
Energy: -50.07 eV per cell
SG: No. 38

[4]
Material: Y6Er19Tm4
Method: DFT, PBE
State: relaxed

a = 10.6943 Å, b = 10.6942 Å, c = 10.6942 Å
α = 109.47°, β = 109.47°, γ = 109.47°
With the nearest neighbours (Å) after each atom.
Element x y z (fractional)
1 Er 0.0000 0.7396 0.7396  5 Er 3.22-3.50, 2 Tm 3.28, 2 Y 3.37
2 Y 0.6314 0.5000 0.1314  6 Er 3.19-3.57, 1 Y 3.24
3 Er 0.2604 0.2604 0.0000  5 Er 3.22-3.50, 2 Tm 3.28, 2 Y 3.37
4 Y 0.5000 0.8686 0.3686  6 Er 3.19-3.57, 1 Y 3.24
5 Y 0.1314 0.6314 0.5000  6 Er 3.19-3.57, 1 Y 3.24
6 Tm 0.3572 0.3572 0.3572  9 Er 3.28-3.38
7 Er 0.3404 0.0179 0.8071  2 Y 3.19-3.57, 4 Er 3.29-3.54, 2 Tm 3.31-3.38
8 Y 0.8686 0.3686 0.5000  6 Er 3.19-3.57, 1 Y 3.24
9 Er 0.6775 0.6596 0.4667  2 Y 3.19-3.57, 4 Er 3.29-3.54, 2 Tm 3.31-3.38
10 Er 0.2604 0.0000 0.2604  5 Er 3.22-3.50, 2 Tm 3.28, 2 Y 3.37
11 Er 0.3225 0.7892 0.9821  2 Y 3.19-3.57, 4 Er 3.29-3.54, 2 Tm 3.31-3.38
12 Er 0.7892 0.9821 0.3225  2 Y 3.19-3.57, 4 Er 3.29-3.54, 2 Tm 3.31-3.38
13 Er 0.8071 0.3404 0.0179  2 Y 3.19-3.57, 4 Er 3.29-3.54, 2 Tm 3.31-3.38
14 Er 0.7396 0.7396 0.0000  5 Er 3.22-3.50, 2 Tm 3.28, 2 Y 3.37
15 Y 0.3686 0.5000 0.8686  6 Er 3.19-3.57, 1 Y 3.24
16 Er 0.7396 0.0000 0.7396  5 Er 3.22-3.50, 2 Tm 3.28, 2 Y 3.37
17 Tm 0.6428 0.0000 0.0000  9 Er 3.28-3.38
18 Er 0.0000 0.0000 0.0000  6 Er 3.22
19 Y 0.5000 0.1314 0.6314  6 Er 3.19-3.57, 1 Y 3.24
20 Er 0.2108 0.5333 0.1929  2 Y 3.19-3.57, 4 Er 3.29-3.54, 2 Tm 3.31-3.38
21 Er 0.1929 0.2108 0.5333  2 Y 3.19-3.57, 4 Er 3.29-3.54, 2 Tm 3.31-3.38
22 Er 0.6596 0.4667 0.6775  2 Y 3.19-3.57, 4 Er 3.29-3.54, 2 Tm 3.31-3.38
23 Er 0.4667 0.6775 0.6596  2 Y 3.19-3.57, 4 Er 3.29-3.54, 2 Tm 3.31-3.38
24 Er 0.0179 0.8071 0.3404  2 Y 3.19-3.57, 4 Er 3.29-3.54, 2 Tm 3.31-3.38
25 Er 0.5333 0.1929 0.2108  2 Y 3.19-3.57, 4 Er 3.29-3.54, 2 Tm 3.31-3.38
26 Er 0.9821 0.3225 0.7892  2 Y 3.19-3.57, 4 Er 3.29-3.54, 2 Tm 3.31-3.38
27 Tm 0.0000 0.6428 0.0000  9 Er 3.28-3.38
28 Er 0.0000 0.2604 0.2604  5 Er 3.22-3.50, 2 Tm 3.28, 2 Y 3.37
29 Tm 0.0000 0.0000 0.6428  9 Er 3.28-3.38

Calculated values
Spin magnetization: 0.1 μB per formula unit
Energy: -132.08 eV per cell
SG: No. 197

[5]
Material: Y16Er7Tm6
Method: DFT, PBE
State: relaxed

a = 11.0843 Å, b = 11.0843 Å, c = 11.0843 Å
α = 60.00°, β = 60.00°, γ = 60.00°
With the nearest neighbours (Å) after each atom.
Element x y z (fractional)
1 Y 0.1221 0.1221 0.6338  4 Er 3.31-3.42, 3 Tm 3.60, 3 Y 3.62
2 Y 0.8779 0.3662 0.8779  4 Er 3.31-3.42, 3 Tm 3.60, 3 Y 3.62
3 Tm 0.7267 0.2733 0.7267  8 Y 3.55-3.60, 4 Er 3.94
4 Er 0.5000 0.0000 0.0000  8 Y 3.23-3.42
5 Y 0.8779 0.8779 0.3662  4 Er 3.31-3.42, 3 Tm 3.60, 3 Y 3.62
6 Er 0.0000 0.0000 0.0000  8 Y 3.31
7 Y 0.6509 0.6509 0.0473  3 Er 3.23, 3 Tm 3.55
8 Tm 0.2733 0.2733 0.7267  8 Y 3.55-3.60, 4 Er 3.94
9 Y 0.6509 0.0473 0.6509  3 Er 3.23, 3 Tm 3.55
10 Y 0.9527 0.3491 0.3491  3 Er 3.23, 3 Tm 3.55
11 Y 0.6338 0.1221 0.1221  4 Er 3.31-3.42, 3 Tm 3.60, 3 Y 3.62
12 Y 0.3491 0.3491 0.9527  3 Er 3.23, 3 Tm 3.55
13 Tm 0.7267 0.7267 0.2733  8 Y 3.55-3.60, 4 Er 3.94
14 Y 0.1221 0.6338 0.1221  4 Er 3.31-3.42, 3 Tm 3.60, 3 Y 3.62
15 Er 0.0000 0.5000 0.5000  8 Y 3.23-3.42
16 Tm 0.2733 0.7267 0.7267  8 Y 3.55-3.60, 4 Er 3.94
17 Y 0.8779 0.8779 0.8779  4 Er 3.31-3.42, 3 Tm 3.60, 3 Y 3.62
18 Y 0.3491 0.9527 0.3491  3 Er 3.23, 3 Tm 3.55
19 Tm 0.2733 0.7267 0.2733  8 Y 3.55-3.60, 4 Er 3.94
20 Y 0.3491 0.3491 0.3491  3 Er 3.23, 3 Tm 3.55
21 Er 0.0000 0.0000 0.5000  8 Y 3.23-3.42
22 Y 0.3662 0.8779 0.8779  4 Er 3.31-3.42, 3 Tm 3.60, 3 Y 3.62
23 Er 0.5000 0.0000 0.5000  8 Y 3.23-3.42
24 Y 0.1221 0.1221 0.1221  4 Er 3.31-3.42, 3 Tm 3.60, 3 Y 3.62
25 Y 0.6509 0.6509 0.6509  3 Er 3.23, 3 Tm 3.55
26 Tm 0.7267 0.2733 0.2733  8 Y 3.55-3.60, 4 Er 3.94
27 Er 0.5000 0.5000 0.0000  8 Y 3.23-3.42
28 Y 0.0473 0.6509 0.6509  3 Er 3.23, 3 Tm 3.55
29 Er 0.0000 0.5000 0.0000  8 Y 3.23-3.42

Calculated values
Spin magnetization: 0.0 μB per formula unit
Energy: -154.94 eV per cell
SG: No. 225

[6]
Material: YErTm2
Method: DFT, PBE
State: relaxed

a = 3.5882 Å, b = 5.5765 Å, c = 7.1780 Å
α = 90.00°, β = 120.03°, γ = 90.00°
With the nearest neighbours (Å) after each atom.
Element x y z (fractional)
1 Tm 0.8375 0.2524 0.0829  4 Tm 3.47-3.59, 4 Y 3.47-3.48, 4 Er 3.57-3.60
2 Er 0.8347 0.2525 0.5801  8 Tm 3.47-3.60, 2 Y 3.48, 2 Er 3.59
3 Y 0.1693 0.7524 0.9155  8 Tm 3.47-3.60, 2 Er 3.48, 2 Y 3.59
4 Tm 0.1682 0.7525 0.4144  4 Tm 3.47-3.59, 4 Er 3.47, 4 Y 3.58-3.60

Calculated values
Spin magnetization: 0.0 μB per formula unit
Excess energy over the best structure of this formula in the dataset: 0 meV per atom
SG: No. 25

[7]
Material: Y4Er8Tm3
Method: DFT, PBE
State: relaxed

a = 6.6769 Å, b = 9.2040 Å, c = 9.2040 Å
α = 87.74°, β = 111.33°, γ = 111.33°
With the nearest neighbours (Å) after each atom.
Element x y z (fractional)
1 Tm 0.5000 0.5000 0.5000  6 Er 3.14-3.16
2 Er 0.0000 0.6389 0.3611  7 Er 3.54-3.61, 4 Tm 3.60-3.78, 2 Y 3.61
3 Y 0.0000 0.5000 0.0000  4 Er 3.20-3.31, 2 Tm 3.34
4 Er 0.0000 0.3611 0.6389  7 Er 3.54-3.61, 4 Tm 3.60-3.78, 2 Y 3.61
5 Er 0.5000 0.2541 0.7459  3 Tm 3.14-3.32, 3 Y 3.24-3.31
6 Er 0.5263 0.2688 0.2688  3 Tm 3.16-3.20, 2 Er 3.20-3.48, 2 Y 3.48-3.53
7 Y 0.0000 0.0000 0.5000  4 Er 3.20-3.31, 2 Tm 3.34
8 Y 0.5000 0.0000 0.0000  6 Er 3.24-3.48, 2 Y 3.34
9 Er 0.9926 0.7287 0.7287  1 Tm 3.16, 2 Er 3.20-3.48, 3 Y 3.20-3.48
10 Er 0.4737 0.7312 0.7312  3 Tm 3.16-3.20, 2 Er 3.20-3.48, 2 Y 3.48-3.53
11 Tm 0.5000 0.0000 0.5000  4 Er 3.20-3.32, 2 Y 3.34
12 Tm 0.5000 0.5000 0.0000  4 Er 3.20-3.32, 2 Y 3.34
13 Y 0.0000 0.0000 0.0000  2 Y 3.34, 4 Er 3.53-3.58
14 Er 0.5000 0.7459 0.2541  3 Tm 3.14-3.32, 3 Y 3.24-3.31
15 Er 0.0074 0.2713 0.2713  1 Tm 3.16, 2 Er 3.20-3.48, 3 Y 3.20-3.48

Calculated values
Spin magnetization: 0.1 μB per formula unit
Excess energy over the best structure of this formula in the dataset: 271 meV per atom
SG: No. 12

[8]
Material: Y2Er4Tm
Method: DFT, PBE
State: relaxed

a = 6.1936 Å, b = 6.4444 Å, c = 11.3910 Å
α = 90.00°, β = 105.57°, γ = 90.00°
With the nearest neighbours (Å) after each atom.
Element x y z (fractional)
1 Y 0.6134 0.7500 0.9962  6 Er 3.35-3.62, 1 Tm 3.44, 2 Y 3.53
2 Er 0.3414 0.4970 0.7127  5 Er 3.18-3.43, 1 Tm 3.39, 1 Y 3.47
3 Er 0.3414 0.0030 0.7127  5 Er 3.18-3.43, 1 Tm 3.39, 1 Y 3.47
4 Tm 0.8334 0.2500 0.8366  6 Er 3.26-3.44, 1 Y 3.44
5 Tm 0.1666 0.7500 0.1634  6 Er 3.26-3.44, 1 Y 3.44
6 Y 0.2957 0.2500 0.4250  9 Er 3.36-3.59
7 Y 0.7043 0.7500 0.5750  9 Er 3.36-3.59
8 Er 0.8606 0.2500 0.5545  1 Tm 3.26, 4 Er 3.38-3.43, 4 Y 3.39-3.41
9 Er 0.6586 0.9970 0.2873  5 Er 3.18-3.43, 1 Tm 3.39, 1 Y 3.47
10 Er 0.9665 0.2500 0.1375  3 Tm 3.30-3.44, 2 Er 3.31, 3 Y 3.35-3.50
11 Er 0.6586 0.5030 0.2873  5 Er 3.18-3.43, 1 Tm 3.39, 1 Y 3.47
12 Y 0.3866 0.2500 0.0038  6 Er 3.35-3.62, 1 Tm 3.44, 2 Y 3.53
13 Er 0.1394 0.7500 0.4455  1 Tm 3.26, 4 Er 3.38-3.43, 4 Y 3.39-3.41
14 Er 0.0335 0.7500 0.8625  3 Tm 3.30-3.44, 2 Er 3.31, 3 Y 3.35-3.50

Calculated values
Spin magnetization: 0.0 μB per formula unit
Excess energy over the best structure of this formula in the dataset: 137 meV per atom
SG: No. 11

[9]
Material: Y2Er3Tm2
Method: DFT, PBE
State: relaxed

a = 8.3372 Å, b = 8.3372 Å, c = 8.3372 Å
α = 109.47°, β = 109.47°, γ = 109.47°
With the nearest neighbours (Å) after each atom.
Element x y z (fractional)
1 Er 0.2500 0.9368 0.1868  4 Tm 3.20-3.25, 2 Y 3.48
2 Tm 0.5000 0.4049 0.5000  6 Er 3.20-3.25, 1 Y 3.35
3 Y 0.5000 0.8070 0.5000  1 Tm 3.35, 6 Er 3.48-3.71, 3 Y 3.49
4 Y 0.1930 0.6930 0.6930  1 Tm 3.35, 6 Er 3.48-3.71, 3 Y 3.49
5 Er 0.6868 0.7500 0.9368  4 Tm 3.20-3.25, 2 Y 3.48
6 Er 0.4368 0.1868 0.7500  4 Tm 3.20-3.25, 2 Y 3.48
7 Tm 0.0000 0.0000 0.4049  6 Er 3.20-3.25, 1 Y 3.35
8 Er 0.0632 0.3132 0.2500  4 Tm 3.20-3.25, 2 Y 3.48
9 Tm 0.5951 0.0951 0.0951  6 Er 3.20-3.25, 1 Y 3.35
10 Er 0.8132 0.2500 0.5632  4 Tm 3.20-3.25, 2 Y 3.48
11 Tm 0.9049 0.5000 0.0000  6 Er 3.20-3.25, 1 Y 3.35
12 Er 0.7500 0.5632 0.3132  4 Tm 3.20-3.25, 2 Y 3.48
13 Y 0.3070 0.5000 0.0000  1 Tm 3.35, 6 Er 3.48-3.71, 3 Y 3.49
14 Y 0.0000 0.0000 0.8070  1 Tm 3.35, 6 Er 3.48-3.71, 3 Y 3.49

Calculated values
Spin magnetization: 0.0 μB per formula unit
Excess energy over the best structure of this formula in the dataset: 221 meV per atom
SG: No. 199

[10]
Material: Y6ErTm5
Method: DFT, PBE
State: relaxed

a = 11.7110 Å, b = 6.1181 Å, c = 6.1123 Å
α = 59.97°, β = 85.01°, γ = 79.99°
With the nearest neighbours (Å) after each atom.
Element x y z (fractional)
1 Y 0.2502 0.9162 0.6666  6 Y 3.53, 5 Tm 3.53, 1 Er 3.53
2 Tm 0.0000 0.3333 0.3335  3 Er 3.53, 3 Tm 3.53, 6 Y 3.53
3 Y 0.2502 0.5828 0.3334  6 Y 3.53, 5 Tm 3.53, 1 Er 3.53
4 Y 0.7499 0.7504 0.0000  6 Y 3.53, 5 Tm 3.53, 1 Er 3.53
5 Er 0.0000 0.0000 0.0000  6 Tm 3.53, 6 Y 3.53
6 Tm 0.0000 0.6667 0.6665  3 Er 3.53, 3 Tm 3.53, 6 Y 3.53
7 Y 0.7498 0.0838 0.3334  6 Y 3.53, 5 Tm 3.53, 1 Er 3.53
8 Tm 0.5000 0.8333 0.3333  6 Tm 3.53, 6 Y 3.53
9 Tm 0.5000 0.1667 0.6667  6 Tm 3.53, 6 Y 3.53
10 Y 0.2501 0.2496 0.0000  6 Y 3.53, 5 Tm 3.53, 1 Er 3.53
11 Y 0.7498 0.4172 0.6666  6 Y 3.53, 5 Tm 3.53, 1 Er 3.53
12 Tm 0.5000 0.5000 0.0000  6 Tm 3.53, 6 Y 3.53

Calculated values
Spin magnetization: 0.0 μB per formula unit
Energy: -65.35 eV per cell
SG: No. 12

[11]
Material: YEr2Tm3
Method: DFT, PBE
State: relaxed

a = 3.5891 Å, b = 11.1000 Å, c = 10.9820 Å
α = 120.35°, β = 99.40°, γ = 90.00°
With the nearest neighbours (Å) after each atom.
Element x y z (fractional)
1 Er 0.2772 0.6520 0.5544  6 Er 3.45-3.59, 5 Tm 3.46-3.57, 1 Y 3.47
2 Er 0.9440 0.8167 0.8880  3 Tm 3.45-3.46, 4 Y 3.48-3.59, 5 Er 3.51-3.59
3 Tm 0.7214 0.8463 0.4427  7 Tm 3.45-3.59, 3 Y 3.45-3.60, 2 Er 3.46
4 Y 0.6111 0.9859 0.2221  5 Tm 3.45-3.60, 5 Er 3.47-3.59, 2 Y 3.59
5 Y 0.3889 0.0141 0.7779  5 Tm 3.45-3.60, 5 Er 3.47-3.59, 2 Y 3.59
6 Tm 0.0551 0.6782 0.1102  9 Tm 3.42-3.59, 1 Er 3.46, 2 Y 3.48
7 Tm 0.6111 0.4867 0.2222  7 Tm 3.44-3.59, 5 Er 3.45-3.57
8 Er 0.0560 0.1833 0.1120  3 Tm 3.45-3.46, 4 Y 3.48-3.59, 5 Er 3.51-3.59
9 Er 0.7228 0.3480 0.4456  6 Er 3.45-3.59, 5 Tm 3.46-3.57, 1 Y 3.47
10 Tm 0.2786 0.1537 0.5573  7 Tm 3.45-3.59, 3 Y 3.45-3.60, 2 Er 3.46
11 Tm 0.3889 0.5133 0.7778  7 Tm 3.44-3.59, 5 Er 3.45-3.57
12 Tm 0.9449 0.3218 0.8898  9 Tm 3.42-3.59, 1 Er 3.46, 2 Y 3.48

Calculated values
Spin magnetization: 0.0 μB per formula unit
Excess energy over the best structure of this formula in the dataset: 0 meV per atom
SG: No. 12

[12]
Material: YEr5Tm7
Method: DFT, PBE
State: relaxed

a = 6.6132 Å, b = 8.5771 Å, c = 8.5771 Å
α = 79.86°, β = 67.32°, γ = 67.32°
With the nearest neighbours (Å) after each atom.
Element x y z (fractional)
1 Er 0.7626 0.7374 0.7374  6 Tm 3.31-3.44, 4 Er 3.37
2 Tm 0.5167 0.8096 0.1570  5 Er 3.38-3.43, 4 Tm 3.39-3.74
3 Tm 0.2700 0.2300 0.2300  4 Er 3.07, 4 Tm 3.39-3.40
4 Er 0.5359 0.0038 0.4590  5 Tm 3.07-3.43, 2 Er 3.08-3.37
5 Tm 0.5167 0.1570 0.8096  5 Er 3.38-3.43, 4 Tm 3.39-3.74
6 Y 0.9660 0.0340 0.0340  7 Tm 3.53-3.86, 4 Er 3.70
7 Er 0.0013 0.4590 0.0038  5 Tm 3.07-3.43, 2 Er 3.08-3.37
8 Tm 0.0180 0.3150 0.6490  4 Tm 3.40-3.74, 5 Er 3.42-3.44, 1 Y 3.71
9 Er 0.5359 0.4590 0.0038  5 Tm 3.07-3.43, 2 Er 3.08-3.37
10 Er 0.0013 0.0038 0.4590  5 Tm 3.07-3.43, 2 Er 3.08-3.37
11 Tm 0.5812 0.4188 0.4188  7 Tm 3.46-3.85, 4 Er 3.63
12 Tm 0.0180 0.6490 0.3150  4 Tm 3.40-3.74, 5 Er 3.42-3.44, 1 Y 3.71
13 Tm 0.2767 0.7233 0.7233  6 Er 3.31-3.48, 1 Tm 3.46, 1 Y 3.53

Calculated values
Spin magnetization: 0.0 μB per formula unit
Energy: -57.21 eV per cell
SG: No. 44